17
Lattice="-2.788 -0.052 4.612 -3.028 -3.848 -2.331 6.958 -2.723 1.315" Properties=species:S:1:pos:R:3 comment="GGA+U Li3MnVP2O8F2, relaxed" final_energy_ev_per_cell=-115.28 magnetic_moment_mub_per_fu=7.0 volume_a3_per_cell=194 dos_ef_per_ev_fu=0.00 pbc="T T T"
Li 2.967 -3.830 3.497
Li -0.942 -5.213 0.648
Li -1.830 -2.768 0.112
Mn 0.448 -5.201 -1.665
V 3.930 -6.560 -1.009
P 2.292 -4.547 1.140
P -1.151 -2.055 2.471
O 2.233 -5.346 2.499
O 1.009 -4.702 0.327
O 2.598 -3.103 1.614
O -2.396 -1.521 3.270
O 3.536 -5.081 0.339
O -1.457 -3.500 1.997
O 0.131 -1.900 3.285
O -1.091 -1.257 1.111
F -1.404 -4.165 -1.092
F 2.544 -2.435 4.704